16
Lattice="4.190 0.000 0.000 -2.095 5.005 0.000 0.000 0.000 10.282" Properties=species:S:1:pos:R:3 comment="PaNi2O5 (PBE+U, optimized geometry)" volume_a3_per_cell=216 total_energy_ev_per_atom=-6.867 crystal_system=orthorhombic pbc="T T T"
O 0.000 2.305 7.711
O 2.095 2.699 2.570
O 2.095 1.878 5.804
O 0.000 0.412 3.934
O 0.000 3.127 4.478
O 2.095 1.878 9.619
O 0.000 3.127 0.663
O 0.000 0.412 1.207
O 2.095 4.593 9.075
O 2.095 4.593 6.348
Ni 2.095 3.580 4.610
Ni 2.095 3.580 0.531
Ni 0.000 1.425 5.671
Ni 0.000 1.425 9.751
Pa 0.000 1.990 2.570
Pa 2.095 3.015 7.711